No. 1
# SiAuS2 | Alexandria | PBE | relaxed
data_SiAuS2
_chemical_formula_sum 'Si3 Au3 S6'
_cell_length_a 3.4978
_cell_length_b 3.4978
_cell_length_c 21.7473
_cell_angle_alpha 90.00
_cell_angle_beta 90.00
_cell_angle_gamma 120.00
_space_group_name_H-M_alt 'R -3 m'
_space_group_IT_number 166
_space_group_name_Hall '-R 3 2"'
loop_
_atom_site_label
_atom_site_type_symbol
_atom_site_fract_x
_atom_site_fract_y
_atom_site_fract_z
Si1 Si 0.0000 0.0000 0.0000
Au1 Au 0.0000 0.0000 0.5000
S1 S 0.0000 0.0000 0.3927
# Formation energy from raw total energies: -138 meV per atom
# N(E_F): 0.359 states/eV/atom



No. 2
# LiHoIn4S8 | Alexandria | PBE | relaxed
data_LiHoIn4S8
_chemical_formula_sum 'Li3 Ho3 In12 S24'
_cell_length_a 7.7602
_cell_length_b 7.7602
_cell_length_c 19.0430
_cell_angle_alpha 90.00
_cell_angle_beta 90.00
_cell_angle_gamma 120.00
_space_group_name_H-M_alt 'R 3 m'
_space_group_IT_number 160
_space_group_name_Hall 'R 3 -2"'
loop_
_atom_site_label
_atom_site_type_symbol
_atom_site_fract_x
_atom_site_fract_y
_atom_site_fract_z
Li1 Li 0.0000 0.0000 0.0000
Ho1 Ho 0.0000 0.0000 0.6324
In1 In 0.0000 0.0000 0.2472
In2 In 0.1753 0.3506 0.4549
S1 S 0.0000 0.0000 0.3832
S2 S 0.0000 0.0000 0.8674
S3 S 0.0070 0.5035 0.3786
S4 S 0.1772 0.3545 0.2036
# Formation energy from raw total energies: -910 meV per atom